TePd3Br, relaxed, DFT GGA-PBE; space group = No. 221; uncorrected formation energy = 0.35 eV/atom; M_tot = 0.0 μB/cell; N(E_F) = 5.1 states/eV/cell
1.0
5.046 0.000 0.000
0.000 5.046 0.000
0.000 0.000 5.046
Te Pd Br
1 3 1
Direct
0.000 0.000 0.000 Te
0.000 0.000 0.500 Pd
0.000 0.500 0.000 Pd
0.500 0.000 0.000 Pd
0.500 0.500 0.500 Br

***

Te2PdBr, relaxed, DFT GGA-PBE; space group = No. 2; uncorrected formation energy = -0.33 eV/atom; M_tot = 0.0 μB/cell; N(E_F) = 1.6 states/eV/cell
1.0
4.117 0.000 0.000
-2.049 3.583 0.000
-0.003 -1.340 7.438
Te Pd Br
2 1 1
Direct
0.192 0.386 0.176 Te
0.808 0.614 0.824 Te
0.500 0.000 0.000 Pd
0.000 0.000 0.500 Br

***

TePdBr, relaxed, DFT GGA-PBE; space group = No. 2; uncorrected formation energy = -0.31 eV/atom; M_tot = 0.0 μB/cell; N(E_F) = 4.2 states/eV/cell
1.0
3.918 0.000 0.000
-0.002 5.510 0.000
-0.005 -0.246 7.054
Te Pd Br
2 2 2
Direct
0.249 0.241 0.426 Te
0.751 0.759 0.574 Te
0.250 0.514 0.744 Pd
0.750 0.486 0.256 Pd
0.250 0.752 0.089 Br
0.750 0.248 0.911 Br

***

Te2PdBr, relaxed, DFT GGA-PBE; space group = No. 11; uncorrected formation energy = -0.30 eV/atom; M_tot = 0.0 μB/cell; N(E_F) = 5.1 states/eV/cell
1.0
5.622 0.000 0.000
0.000 4.113 0.000
-0.012 0.000 9.684
Te Pd Br
4 2 2
Direct
0.249 0.250 0.201 Te
0.250 0.250 0.560 Te
0.750 0.750 0.440 Te
0.751 0.750 0.799 Te
0.249 0.750 0.380 Pd
0.751 0.250 0.620 Pd
0.251 0.750 0.859 Br
0.749 0.250 0.141 Br

***

TePd3Br, relaxed, DFT GGA-PBE; space group = No. 221; uncorrected formation energy = 0.48 eV/atom; M_tot = 0.0 μB/cell; N(E_F) = 4.1 states/eV/cell
1.0
4.832 0.000 0.000
0.000 4.832 0.000
0.000 0.000 4.832
Te Pd Br
1 3 1
Direct
0.000 0.000 0.000 Te
0.000 0.500 0.500 Pd
0.500 0.000 0.500 Pd
0.500 0.500 0.000 Pd
0.500 0.500 0.500 Br

***

Te2PdBr, relaxed, DFT GGA-PBE; space group = No. 1; uncorrected formation energy = -0.28 eV/atom; M_tot = 0.0 μB/cell; N(E_F) = 0.5 states/eV/cell
1.0
4.053 0.000 0.000
2.006 6.899 0.000
2.013 2.795 8.486
Te Pd Br
4 2 2
Direct
0.000 0.000 0.000 Te
0.151 0.026 0.677 Te
0.430 0.539 0.599 Te
0.777 0.522 0.928 Te
0.400 0.271 0.932 Pd
0.790 0.784 0.636 Pd
0.553 0.597 0.296 Br
0.800 0.041 0.356 Br

***

TePdBr2, relaxed, DFT GGA-PBE; space group = No. 46; uncorrected formation energy = -0.29 eV/atom; M_tot = 0.0 μB/cell
1.0
4.860 0.000 0.000
0.000 9.412 0.000
0.000 0.000 15.190
Te Pd Br
4 4 8
Direct
0.250 0.180 0.000 Te
0.250 0.320 0.500 Te
0.750 0.680 0.500 Te
0.750 0.820 0.000 Te
0.250 0.581 0.548 Pd
0.250 0.919 0.048 Pd
0.750 0.081 0.048 Pd
0.750 0.419 0.548 Pd
0.250 0.159 0.833 Br
0.250 0.341 0.333 Br
0.250 0.685 0.127 Br
0.250 0.815 0.627 Br
0.750 0.185 0.627 Br
0.750 0.315 0.127 Br
0.750 0.659 0.333 Br
0.750 0.841 0.833 Br

***

Te4Pd2Br, relaxed, DFT GGA-PBE; space group = No. 70; uncorrected formation energy = -0.24 eV/atom; M_tot = 0.0 μB/cell; N(E_F) = 7.3 states/eV/cell
1.0
0.000 5.297 7.190
5.029 0.000 7.190
5.029 5.297 0.000
Te Pd Br
8 4 2
Direct
0.182 0.207 0.312 Te
0.201 0.688 0.793 Te
0.207 0.182 0.799 Te
0.312 0.799 0.182 Te
0.688 0.201 0.818 Te
0.793 0.818 0.201 Te
0.799 0.312 0.207 Te
0.818 0.793 0.688 Te
0.000 0.000 0.000 Pd
0.000 0.000 0.500 Pd
0.000 0.500 0.000 Pd
0.500 0.000 0.000 Pd
0.375 0.375 0.375 Br
0.625 0.625 0.625 Br

***

Te2PdBr, relaxed, DFT GGA-PBE; space group = No. 156; uncorrected formation energy = 0.02 eV/atom; M_tot = 0.0 μB/cell; N(E_F) = 3.6 states/eV/cell
1.0
3.612 0.000 0.000
-1.806 3.128 0.000
0.000 0.000 9.837
Te Pd Br
2 1 1
Direct
0.000 0.000 0.000 Te
0.333 0.667 0.567 Te
0.000 0.000 0.730 Pd
0.667 0.333 0.338 Br

***

TePdBr2, relaxed, DFT GGA-PBE; space group = No. 166; uncorrected formation energy = 0.05 eV/atom; M_tot = 0.9 μB/cell; N(E_F) = 10.0 states/eV/cell
1.0
3.875 0.000 0.000
-1.937 3.355 0.000
0.000 0.000 25.893
Te Pd Br
3 3 6
Direct
0.000 0.000 0.000 Te
0.333 0.667 0.667 Te
0.667 0.333 0.333 Te
0.000 0.000 0.500 Pd
0.333 0.667 0.167 Pd
0.667 0.333 0.833 Pd
0.000 0.000 0.107 Br
0.000 0.000 0.893 Br
0.333 0.667 0.560 Br
0.333 0.667 0.774 Br
0.667 0.333 0.226 Br
0.667 0.333 0.440 Br

***

TePdBr3, relaxed, DFT GGA-PBE; space group = No. 221; uncorrected formation energy = 0.15 eV/atom; M_tot = 0.0 μB/cell; N(E_F) = 5.8 states/eV/cell
1.0
5.134 0.000 0.000
0.000 5.134 0.000
0.000 0.000 5.134
Te Pd Br
1 1 3
Direct
0.000 0.000 0.000 Te
0.500 0.500 0.500 Pd
0.000 0.500 0.500 Br
0.500 0.000 0.500 Br
0.500 0.500 0.000 Br

***

Te2PdBr, relaxed, DFT GGA-PBE; space group = No. 33; uncorrected formation energy = -0.15 eV/atom; M_tot = 0.0 μB/cell; N(E_F) = 6.1 states/eV/cell
1.0
7.830 0.000 0.000
0.000 9.507 0.000
0.000 0.000 6.550
Te Pd Br
8 4 4
Direct
0.008 0.147 0.000 Te
0.075 0.137 0.473 Te
0.425 0.637 0.973 Te
0.492 0.647 0.500 Te
0.508 0.353 0.000 Te
0.575 0.363 0.473 Te
0.925 0.863 0.973 Te
0.992 0.853 0.500 Te
0.203 0.592 0.680 Pd
0.297 0.092 0.180 Pd
0.703 0.908 0.680 Pd
0.797 0.408 0.180 Pd
0.082 0.482 0.346 Br
0.418 0.982 0.846 Br
0.582 0.018 0.346 Br
0.918 0.518 0.846 Br